No. 1
A geometry-optimized KSnP structure, computed with GGA-PBE.

Output
total DFT energy (no corrections) = -3.790 eV/atom
ΔH_f (0 K) = -286 meV/atom
total moment = 0.0 μB per formula unit
space-group type = No. 11

Cell: 4.051 7.443 7.397 Å, 110.31 90.00 90.00°
Fractional positions:
K 0.750 0.371 0.210
K 0.250 0.629 0.790
Sn 0.750 0.185 0.676
Sn 0.250 0.815 0.324
P 0.750 0.806 0.555
P 0.250 0.194 0.445

=====

No. 2
A geometry-optimized KSn2P structure, computed with GGA-PBE.

Output
total DFT energy (no corrections) = -3.555 eV/atom
ΔH_f (0 K) = 74 meV/atom
total moment = 0.0 μB per formula unit
space-group type = No. 166

Cell: 3.807 3.807 10.597 Å, 79.65 79.65 60.00°
Fractional positions:
P 0.500 0.500 0.500
K 0.000 0.000 0.000
Sn 0.113 0.113 0.662
Sn 0.887 0.887 0.338

=====

No. 3
A geometry-optimized KTiSnP2 structure, computed with GGA-PBE.

Output
total DFT energy (no corrections) = -2.964 eV/atom
ΔH_f (0 K) = 1799 meV/atom
total moment = 0.0 μB per formula unit
space-group type = No. 123

Cell: 5.078 5.406 5.078 Å, 90.00 90.00 90.00°
Fractional positions:
P 0.000 0.000 0.500
P 0.500 0.000 0.000
K 0.000 0.000 0.000
Sn 0.000 0.500 0.000
Ti 0.500 0.500 0.500

=====

No. 4
A geometry-optimized KSn2PW structure, computed with GGA-PBE.

Output
total DFT energy (no corrections) = -4.362 eV/atom
ΔH_f (0 K) = 1132 meV/atom
total moment = 4.0 μB per formula unit
space-group type = No. 123

Cell: 5.271 6.326 5.271 Å, 90.00 90.00 90.00°
Each line ends with the local moment (μB).
Fractional positions:
P 0.500 0.500 0.500  0.79
K 0.000 0.500 0.000  0.04
Sn 0.000 0.000 0.500  -0.02
Sn 0.500 0.000 0.000  -0.07
W 0.000 0.000 0.000  1.71